[1]
Density functional theory data (SCAN) for Sr5Tl at its PBEsol-relaxed geometry.

abc: 4.064 4.064 16.452
angles: 90.00 90.00 90.00
Atoms (fractional coordinates):
Sr 0.000 0.000 0.882
Sr 0.000 0.000 0.118
Sr 0.500 0.500 0.688
Sr 0.500 0.500 0.312
Sr 0.000 0.000 0.500
Tl 0.500 0.500 0.000

Summary:
Its formation energy is -0.208 eV/atom. Its energy above the most stable polymorph in this dataset is 0.0 meV/atom. The magnetic moment comes out at 0.5 Bohr magnetons per cell. The total energy is -30.83 eV per atom.

=====

[2]
Density functional theory data (SCAN) for Er2InPd2 at its PBEsol-relaxed geometry.

abc: 3.608 7.564 7.564
angles: 90.00 90.00 90.00
Atoms (fractional coordinates):
Er 0.500 0.328 0.828
Er 0.500 0.828 0.672
Er 0.500 0.172 0.328
Er 0.500 0.672 0.172
In 0.000 0.000 0.000
In 0.000 0.500 0.500
Pd 0.000 0.371 0.129
Pd 0.000 0.871 0.371
Pd 0.000 0.129 0.629
Pd 0.000 0.629 0.871

Summary:
Its formation energy is -0.996 eV/atom. The magnetic moment comes out at 0.0 Bohr magnetons per cell. The total energy is -40.92 eV per atom.

=====

[3]
Density functional theory data (SCAN) for TiAlSiGe2 at its PBEsol-relaxed geometry.

abc: 4.659 4.659 4.725
angles: 90.00 90.00 90.00
Atoms (fractional coordinates):
Ge 0.000 0.500 0.000
Ge 0.500 0.000 0.000
Al 0.500 0.500 0.500
Si 0.000 0.000 0.000
Ti 0.000 0.000 0.500

Summary:
For the raw formation energy, the calculation gives 0.704 eV per atom. The magnetic moment comes out at 0.0 Bohr magnetons per cell. The total energy is -13.69 eV per atom.

=====

Which value of magnetic moment does entry 3 give? 0.0 Bohr magnetons per cell